# La2Pr8Th3 PBE optimized geometry
# * size of the total moment: 0.00 μB per formula unit
# * crystal system: monoclinic
# * E_form: 5.2 kcal/mol of atoms
# * D(E_F): 20.3 states/eV/cell
data_La2Pr8Th3
_symmetry_space_group_name_H-M 'P 1'
_symmetry_Int_Tables_number 1
_symmetry_space_group_name_Hall 'P 1'
_cell_length_a 7.5605
_cell_length_b 7.5605
_cell_length_c 8.9409
_cell_angle_alpha 105.51
_cell_angle_beta 105.51
_cell_angle_gamma 93.65
loop_
_atom_site_label
_atom_site_type_symbol
_atom_site_fract_x
_atom_site_fract_y
_atom_site_fract_z
La1 La 0.2238 0.2238 0.0275
La2 La 0.7762 0.7762 0.9725
Pr1 Pr 0.0799 0.5977 0.3148
Pr2 Pr 0.0991 0.0991 0.3526
Pr3 Pr 0.4023 0.9201 0.6852
Pr4 Pr 0.4100 0.4100 0.7852
Pr5 Pr 0.5900 0.5900 0.2148
Pr6 Pr 0.5977 0.0799 0.3148
Pr7 Pr 0.9009 0.9009 0.6474
Pr8 Pr 0.9201 0.4023 0.6852
Th1 Th 0.2364 0.7636 0.0000
Th2 Th 0.5000 0.5000 0.5000
Th3 Th 0.7636 0.2364 0.0000